# 1
Computed, not measured: a relaxed structure of CaLa3Os at the PBE-GGA level of DFT.

```
CaLa3Os
1.0
7.6605 0.0000 0.0000
-2.9295 7.0783 0.0000
-2.3636 -3.5362 6.3721
Ca La Os
2 6 2
direct
0.0000 0.0000 0.0000
0.4605 0.4623 0.6106
0.0479 0.5521 0.1036
0.0538 0.9638 0.5052
0.4651 0.8676 0.0146
0.4986 0.4075 0.1058
0.5950 0.9988 0.5991
0.9101 0.4160 0.5103
0.1257 0.3367 0.8062
0.3941 0.0683 0.3062
```

SG = P1
magnetic moment = 0.0 μB/cell
formation enthalpy at 0 K = -0.48 eV/f.u.
energy = -5.698 eV/atom



# 2
Computed, not measured: a relaxed structure of CaLa3Os at the PBE-GGA level of DFT.

```
CaLa3Os
1.0
3.3986 -7.3155 0.0000
3.3986 7.3155 0.0000
0.0000 0.0000 6.5188
Ca La Os
2 6 2
direct
0.0726 0.9274 0.7500
0.9274 0.0726 0.2500
0.0622 0.4548 0.7500
0.4548 0.0622 0.2500
0.5000 0.5000 0.0000
0.5000 0.5000 0.5000
0.5452 0.9378 0.7500
0.9378 0.5452 0.2500
0.3390 0.6610 0.2500
0.6610 0.3390 0.7500
```

SG = Cmcm
magnetic moment = 0.0 μB/cell
formation enthalpy at 0 K = 0.25 eV/f.u.
energy = -5.552 eV/atom



# 3
Computed, not measured: a relaxed structure of CaLaOs2 at the PBE-GGA level of DFT.

```
CaLaOs2
1.0
5.0083 0.0000 0.0000
0.0000 3.1991 0.0000
-2.3608 0.0000 5.1417
Ca La Os
1 1 2
direct
0.0000 0.0000 0.0000
0.0000 0.5000 0.5000
0.5000 0.0000 0.5000
0.5000 0.5000 0.0000
```

SG = P2/m
magnetic moment = 0.0 μB/cell
formation enthalpy at 0 K = 2.81 eV/f.u.
energy = -6.645 eV/atom



# 4
Computed, not measured: a relaxed structure of CaLa2Os at the PBE-GGA level of DFT.

```
CaLa2Os
1.0
3.9259 0.0000 0.0000
0.0000 5.9281 0.0000
0.0000 0.0000 10.6564
Ca La Os
2 4 2
direct
0.0000 0.0000 0.0000
0.5000 0.5000 0.5000
0.0000 0.5000 0.1829
0.0000 0.5000 0.8171
0.5000 0.0000 0.3171
0.5000 0.0000 0.6829
0.0000 0.0000 0.5000
0.5000 0.5000 0.0000
```

SG = Immm
magnetic moment = 0.0 μB/cell
formation enthalpy at 0 K = 0.06 eV/f.u.
energy = -5.758 eV/atom



Question: Among the records above, which one has the highest energy?
Answer: number 2